Below is a relaxed NaMg2RuW crystal, with properties calculated at the PBE-GGA level.

Calculated formation energy   1791 meV per atom
Final energy   -3.556 eV per atom

Cell lengths 4.390, 4.390, 4.723 Å; angles 90.00, 90.00, 90.00 degrees
Space group P4/mmm (No. 123)
Symmetry-distinct sites (fractional):
Na  0.000  0.000  0.000 x1
Mg  0.000  0.500  0.000 x2
Ru  0.000  0.000  0.500 x1
W  0.500  0.500  0.500 x1